Entry 1:
Pr4Se2Cl3: optimized geometry, PBE.

abc: 7.3775 4.2590 16.6517
angles: 90.00 90.07 90.00
Space group C2/m (No. 12)
Inequivalent atoms, fractional coordinates:
Pr (0.0008, 0.0000, 0.2979)
Pr (0.1664, 0.5000, 0.8924)
Se (0.1672, 0.5000, 0.2026)
Cl (0.0000, 0.0000, 0.0000)
Cl (0.1656, 0.5000, 0.6039)

## Properties
Uncorrected formation energy: -1.798 eV per atom

Entry 2:
Dy3Se3F2: optimized geometry, PBE.

abc: 3.8190 12.2749 14.0525
angles: 90.00 90.00 90.00
Space group Cmcm (No. 63)
Inequivalent atoms, fractional coordinates:
Dy (0.0000, 0.1256, 0.0509)
Dy (0.0000, 0.1433, 0.7500)
Se (0.0000, 0.1832, 0.2500)
Se (0.0000, 0.4497, 0.1119)
F (0.0000, 0.2663, 0.5634)

## Properties
Uncorrected formation energy: -2.502 eV per atom

Entry 3:
ZrCu2Au: optimized geometry, PBE.

abc: 7.2392 7.2392 5.4423
angles: 90.00 90.00 90.00
Space group I-42d (No. 122)
Inequivalent atoms, fractional coordinates:
Zr (0.0000, 0.0000, 0.0000)
Cu (0.2360, 0.7500, 0.6250)
Au (0.0000, 0.0000, 0.5000)

## Properties
Energy above the most stable polymorph in this dataset: 0.4690 eV/atom
Formation energy from the elements: 0.208 eV per atom

Entry 4:
TcSbI2: optimized geometry, PBE.

abc: 9.9397 9.9397 5.1425
angles: 90.00 90.00 90.00
Space group I-42d (No. 122)
Inequivalent atoms, fractional coordinates:
Tc (0.0000, 0.0000, 0.0000)
Sb (0.0000, 0.0000, 0.5000)
I (0.1086, 0.7500, 0.1250)

## Properties
Energy above the most stable polymorph in this dataset: 0.0000 eV/atom
Uncorrected formation energy: 0.285 eV per atom

Entry 5:
Ce6RhAu3: optimized geometry, PBE.

abc: 5.4275 8.1652 12.4939
angles: 90.00 111.02 90.00
Space group P2_1/c (No. 14)
Inequivalent atoms, fractional coordinates:
Ce (0.0218, 0.1857, 0.0719)
Ce (0.3390, 0.5120, 0.2413)
Ce (0.3886, 0.1196, 0.4048)
Rh (0.0000, 0.0000, 0.5000)
Au (0.1156, 0.6466, 0.7057)
Au (0.5000, 0.0000, 0.0000)

## Properties
Formation energy from the elements: -0.439 eV per atom

Entry 6:
Mg2In: optimized geometry, PBE.

abc: 8.6327 8.6327 3.2338
angles: 90.00 90.00 120.00
Space group P-62m (No. 189)
Inequivalent atoms, fractional coordinates:
Mg (0.0000, 0.2982, 0.0000)
Mg (0.0000, 0.6335, 0.5000)
In (0.0000, 0.0000, 0.5000)
In (0.3333, 0.6667, 0.0000)

## Properties
Formation energy from the elements: -0.088 eV per atom